# 1
First-principles (PBE) data for a geometry-optimized Tb4AlGa structure, as listed in Alexandria.

Results
ΔH_f (0 K) = -0.14 eV per atom
E_tot = -4.35 eV per atom
total magnetization = 0.00 Bohr magnetons per cell
N(E_F) = 8.5 states/eV/cell

Lattice parameters (Å, degrees): 5.0123 5.0130 7.1236 89.98 89.98 90.00
Last column: nearest neighbours and their distance in Å.
Fractional coordinates of all 6 atoms:
Tb: 0.5013 0.9971 0.2511  2 Ga 3.06, 2 Al 3.09
Tb: 0.0012 0.4971 0.2512  2 Ga 3.06, 2 Al 3.09
Tb: 0.5013 0.9975 0.7451  2 Ga 3.06, 2 Al 3.09
Tb: 0.0014 0.4974 0.7451  2 Ga 3.06, 2 Al 3.09
Al: 0.5013 0.4973 0.9981  8 Tb 3.09
Ga: 0.0013 0.9973 0.4981  8 Tb 3.06

# 2
First-principles (PBE) data for a geometry-optimized La3Al2Sn4 structure, as listed in Alexandria.

Results
ΔH_f (0 K) = -0.56 eV per atom
E_tot = -4.82 eV per atom
total magnetization = 0.00 Bohr magnetons per cell
N(E_F) = 4.2 states/eV/cell

Lattice parameters (Å, degrees): 4.6865 6.4500 9.2457 102.83 90.00 111.30
Last column: nearest neighbours and their distance in Å.
Fractional coordinates of all 9 atoms:
Sn: 0.0429 0.0857 0.3642  2 Al 2.72, 1 Sn 2.93
Sn: 0.9571 0.9143 0.6358  2 Al 2.72, 1 Sn 2.93
Sn: 0.6957 0.3914 0.0448  1 Al 2.70, 2 Sn 2.90
Sn: 0.3043 0.6086 0.9552  1 Al 2.70, 2 Sn 2.90
La: 0.3335 0.6669 0.3326  3 Al 3.23-3.26, 4 Sn 3.40-3.57
La: 0.0000 0.0000 0.0000  6 Sn 3.28
La: 0.6665 0.3331 0.6674  3 Al 3.23-3.26, 4 Sn 3.40-3.57
Al: 0.3586 0.7172 0.6881  3 Sn 2.70-2.72
Al: 0.6414 0.2828 0.3119  3 Sn 2.70-2.72

# 3
First-principles (PBE) data for a geometry-optimized SrCa3La structure, as listed in Alexandria.

Results
distance to the lowest polymorph of the same formula = 0 meV per atom
ΔH_f (0 K) = 0.57 eV per atom
E_tot = -1.96 eV per atom
total magnetization = 1.00 Bohr magnetons per cell
N(E_F) = 11.6 states/eV/cell

Lattice parameters (Å, degrees): 6.1565 6.1565 6.1565 90.00 90.00 90.00
Last column: nearest neighbours and their distance in Å.
Fractional coordinates of all 5 atoms:
Sr: 0.5000 0.5000 0.5000  12 Ca 4.35
Ca: 0.0000 0.5000 0.0000  2 La 3.08
Ca: 0.5000 0.0000 0.0000  2 La 3.08
Ca: 0.0000 0.0000 0.5000  2 La 3.08
La: 0.0000 0.0000 0.0000  6 Ca 3.08

# 4
First-principles (PBE) data for a geometry-optimized TbHo2Ni9 structure, as listed in Alexandria.

Results
ΔH_f (0 K) = -0.42 eV per atom
E_tot = -5.91 eV per atom
total magnetization = 1.01 Bohr magnetons per cell
N(E_F) = 15.1 states/eV/cell

Lattice parameters (Å, degrees): 4.9600 4.9600 8.5861 73.21 73.21 60.00
Last column: nearest neighbours and their distance in Å.
Fractional coordinates of all 12 atoms:
Ho: 0.8609 0.8609 0.4174  12 Ni 2.84-3.07, 3 Ho 3.16
Ho: 0.1391 0.1391 0.5826  12 Ni 2.84-3.07, 3 Ho 3.16
Ni: 0.6669 0.6669 0.9993  6 Ni 2.45-2.47
Ni: 0.0811 0.5829 0.7531  7 Ni 2.45-2.50
Ni: 0.9189 0.4171 0.2469  7 Ni 2.45-2.50
Ni: 0.4171 0.4171 0.2469  7 Ni 2.45-2.50
Ni: 0.4171 0.9189 0.2469  7 Ni 2.45-2.50
Ni: 0.3331 0.3331 0.0007  6 Ni 2.45-2.47
Ni: 0.5000 0.5000 0.5000  6 Ni 2.50
Ni: 0.5829 0.5829 0.7531  7 Ni 2.45-2.50
Ni: 0.5829 0.0811 0.7531  7 Ni 2.45-2.50
Tb: 0.0000 0.0000 0.0000  18 Ni 2.86-3.19

# 5
First-principles (PBE) data for a geometry-optimized PmNdYHg structure, as listed in Alexandria.

Results
distance to the lowest polymorph of the same formula = 0 meV per atom
ΔH_f (0 K) = -0.24 eV per atom
E_tot = -4.31 eV per atom
total magnetization = 0.00 Bohr magnetons per cell
N(E_F) = 4.6 states/eV/cell

Lattice parameters (Å, degrees): 3.6984 3.6984 8.9431 90.00 90.00 90.00
Last column: nearest neighbours and their distance in Å.
Fractional coordinates of all 4 atoms:
Pm: 0.5000 0.5000 0.7912  4 Hg 3.32, 4 Nd 3.65, 4 Pm 3.70
Nd: 0.0000 0.0000 0.0751  4 Y 3.63, 4 Pm 3.65, 4 Nd 3.70
Hg: 0.0000 0.0000 0.5623  4 Y 3.20, 4 Pm 3.32
Y: 0.5000 0.5000 0.3562  4 Hg 3.20

# 6
First-principles (PBE) data for a geometry-optimized HgGeBi2 structure, as listed in Alexandria.

Results
ΔH_f (0 K) = 0.15 eV per atom
E_tot = -3.02 eV per atom
total magnetization = 0.00 Bohr magnetons per cell
N(E_F) = 1.3 states/eV/cell

Lattice parameters (Å, degrees): 3.8152 3.8152 7.8745 90.00 90.00 90.00
Last column: nearest neighbours and their distance in Å.
Fractional coordinates of all 4 atoms:
Bi: 0.0000 0.0000 0.2030  4 Ge 3.14, 1 Bi 3.20
Bi: 0.0000 0.0000 0.7970  4 Ge 3.14, 1 Bi 3.20
Hg: 0.5000 0.5000 0.5000  8 Bi 3.57, 4 Hg 3.82, 2 Ge 3.94
Ge: 0.5000 0.5000 0.0000  8 Bi 3.14

# 7
First-principles (PBE) data for a geometry-optimized AcPm4Tm structure, as listed in Alexandria.

Results
distance to the lowest polymorph of the same formula = 0 meV per atom
ΔH_f (0 K) = 0.06 eV per atom
E_tot = -4.54 eV per atom
total magnetization = 0.00 Bohr magnetons per cell
N(E_F) = 17.4 states/eV/cell

Lattice parameters (Å, degrees): 9.2261 5.8007 10.6542 89.99 105.17 128.99
Last column: nearest neighbours and their distance in Å.
Fractional coordinates of all 12 atoms:
Tm: 0.1273 0.8773 0.7546  2 Ac 3.59, 12 Pm 3.76-3.80
Tm: 0.8727 0.1227 0.2454  2 Ac 3.59, 12 Pm 3.76-3.80
Pm: 0.2800 0.5305 0.5836  4 Pm 3.35-3.42
Pm: 0.9628 0.2129 0.9172  5 Pm 3.34-3.65
Pm: 0.5456 0.2957 0.0828  5 Pm 3.34-3.65
Pm: 0.0372 0.7871 0.0828  5 Pm 3.34-3.65
Pm: 0.4544 0.7043 0.9172  5 Pm 3.34-3.65
Pm: 0.8036 0.0530 0.5836  4 Pm 3.35-3.42
Pm: 0.1964 0.9470 0.4164  4 Pm 3.35-3.42
Pm: 0.7200 0.4695 0.4164  4 Pm 3.35-3.42
Ac: 0.3765 0.6265 0.2530  2 Tm 3.59, 12 Pm 3.80-3.83
Ac: 0.6235 0.3735 0.7470  2 Tm 3.59, 12 Pm 3.80-3.83

# 8
First-principles (PBE) data for a geometry-optimized Sm2DySi3Pt4 structure, as listed in Alexandria.

Results
E_tot = -6.51 eV per atom
total magnetization = 0.00 Bohr magnetons per cell
uncorrected formation energy = -1.059 eV per atom
N(E_F) = 7.2 states/eV/cell

Lattice parameters (Å, degrees): 4.2518 4.2518 10.8545 90.00 90.00 90.00
Last column: nearest neighbours and their distance in Å.
Fractional coordinates of all 10 atoms:
Si: 0.0000 0.5000 0.1191  5 Pt 2.38-2.49
Si: 0.5000 0.0000 0.8809  5 Pt 2.38-2.49
Si: 0.0000 0.0000 0.5000  4 Pt 2.76, 4 Dy 3.01
Pt: 0.5000 0.0000 0.6615  1 Si 2.38
Pt: 0.0000 0.5000 0.3385  1 Si 2.38
Pt: 0.5000 0.5000 0.0000  4 Si 2.49
Pt: 0.0000 0.0000 0.0000  4 Si 2.49
Sm: 0.5000 0.0000 0.2251  4 Si 3.22, 8 Pt 3.24-3.25
Sm: 0.0000 0.5000 0.7749  4 Si 3.22, 8 Pt 3.24-3.25
Dy: 0.5000 0.5000 0.5000  4 Pt 2.76, 4 Si 3.01

# 9
First-principles (PBE) data for a geometry-optimized Hf5TaGe4 structure, as listed in Alexandria.

Results
ΔH_f (0 K) = -0.29 eV per atom
E_tot = -8.30 eV per atom
total magnetization = 0.00 Bohr magnetons per cell
N(E_F) = 5.5 states/eV/cell

Lattice parameters (Å, degrees): 3.6639 6.7885 9.9355 120.74 100.63 90.00
Last column: nearest neighbours and their distance in Å.
Fractional coordinates of all 10 atoms:
Ta: 0.5000 0.0000 0.0000  6 Ge 2.66-2.78
Ge: 0.3692 0.0576 0.7384  6 Hf 2.75-2.90, 1 Ta 2.78
Ge: 0.9410 0.6674 0.8821  4 Hf 2.65-2.79, 2 Ta 2.66
Ge: 0.0590 0.3326 0.1179  4 Hf 2.65-2.79, 2 Ta 2.66
Ge: 0.6308 0.9424 0.2616  6 Hf 2.75-2.90, 1 Ta 2.78
Hf: 0.5000 0.5000 0.0000  6 Ge 2.71-2.75
Hf: 0.8041 0.2265 0.6081  4 Ge 2.79-2.90
Hf: 0.8128 0.7058 0.6257  3 Ge 2.65-2.75
Hf: 0.1872 0.2942 0.3743  3 Ge 2.65-2.75
Hf: 0.1959 0.7735 0.3919  4 Ge 2.79-2.90

# 10
First-principles (PBE) data for a geometry-optimized TaP structure, as listed in Alexandria.

Results
ΔH_f (0 K) = -0.65 eV per atom
E_tot = -9.28 eV per atom
total magnetization = 0.00 Bohr magnetons per cell
N(E_F) = 6.5 states/eV/cell

Lattice parameters (Å, degrees): 4.7014 5.7576 9.3225 90.00 90.00 90.00
Last column: nearest neighbours and their distance in Å.
Fractional coordinates of all 16 atoms:
Ta: 0.8743 0.1300 0.1937  6 P 2.53-2.59
Ta: 0.8544 0.3716 0.5665  6 P 2.51-2.74
Ta: 0.6456 0.6284 0.0665  6 P 2.51-2.74
Ta: 0.3743 0.3700 0.8063  6 P 2.53-2.59
Ta: 0.6257 0.8700 0.6937  6 P 2.53-2.59
Ta: 0.1257 0.6300 0.3063  6 P 2.53-2.59
Ta: 0.3544 0.1284 0.4335  6 P 2.51-2.74
Ta: 0.1456 0.8716 0.9335  6 P 2.51-2.74
P: 0.8753 0.5358 0.8160  6 Ta 2.51-2.63, 1 P 2.64
P: 0.8504 0.9390 0.4436  6 Ta 2.55-2.74, 1 P 2.64
P: 0.3504 0.5609 0.5564  6 Ta 2.55-2.74, 1 P 2.64
P: 0.6247 0.4642 0.3160  6 Ta 2.51-2.63, 1 P 2.64
P: 0.1496 0.4390 0.0564  6 Ta 2.55-2.74, 1 P 2.64
P: 0.1247 0.0358 0.6840  6 Ta 2.51-2.63, 1 P 2.64
P: 0.3753 0.9642 0.1840  6 Ta 2.51-2.63, 1 P 2.64
P: 0.6496 0.0610 0.9436  6 Ta 2.55-2.74, 1 P 2.64

# 11
First-principles (PBE) data for a geometry-optimized TlCr2Hg structure, as listed in Alexandria.

Results
ΔH_f (0 K) = 0.82 eV per atom
E_tot = -4.66 eV per atom
total magnetization = 1.24 Bohr magnetons per cell
N(E_F) = 3.9 states/eV/cell

Lattice parameters (Å, degrees): 4.6512 3.1182 5.4835 87.57 90.00 90.00
Last column: nearest neighbours and their distance in Å.
Fractional coordinates of all 4 atoms:
Cr: 0.0000 0.8958 0.0929  1 Cr 1.91
Cr: 0.0000 0.6042 0.4071  1 Cr 1.91
Hg: 0.5000 0.2500 0.2500  4 Cr 2.73
Tl: 0.5000 0.7500 0.7500  4 Cr 3.04, 4 Hg 3.10-3.21, 2 Tl 3.12

# 12
First-principles (PBE) data for a geometry-optimized TmTePb2O6 structure, as listed in Alexandria.

Results
E_tot = -6.14 eV per atom
total magnetization = 0.00 Bohr magnetons per cell
uncorrected formation energy = -1.663 eV per atom
N(E_F) = 7.5 states/eV/cell

Lattice parameters (Å, degrees): 5.9229 5.9874 8.4280 90.00 89.99 90.00
Last column: nearest neighbours and their distance in Å.
Fractional coordinates of all 20 atoms:
O: 0.1991 0.2180 0.0397  1 Te 2.09, 1 Tm 2.23
O: 0.5780 0.0183 0.2586  1 Te 2.09, 1 Tm 2.23
O: 0.3009 0.7180 0.4603  1 Te 2.09, 1 Tm 2.23
O: 0.6991 0.2820 0.5397  1 Te 2.09, 1 Tm 2.23
O: 0.4220 0.9817 0.7414  1 Te 2.09, 1 Tm 2.23
O: 0.7192 0.2968 0.9597  1 Te 2.09, 1 Tm 2.23
O: 0.0780 0.4817 0.7586  1 Te 2.09, 1 Tm 2.23
O: 0.7808 0.7968 0.5403  1 Te 2.09, 1 Tm 2.23
O: 0.2808 0.7032 0.0403  1 Te 2.09, 1 Tm 2.23
O: 0.2192 0.2032 0.4597  1 Te 2.09, 1 Tm 2.23
O: 0.8009 0.7820 0.9603  1 Te 2.09, 1 Tm 2.23
O: 0.9220 0.5183 0.2414  1 Te 2.09, 1 Tm 2.23
Pb: 0.0062 0.9716 0.2484  4 O 2.55-2.76
Pb: 0.5062 0.5284 0.7484  4 O 2.55-2.76
Pb: 0.4938 0.4716 0.2516  4 O 2.55-2.76
Pb: 0.9938 0.0284 0.7516  4 O 2.55-2.76
Tm: 0.5000 0.0000 0.0000  6 O 2.23
Tm: 0.0000 0.5000 0.5000  6 O 2.23
Te: 0.5000 0.0000 0.5000  6 O 2.09
Te: 0.0000 0.5000 0.0000  6 O 2.09